# Nb2ZnBi2 (PBE-GGA, relaxed)
data_Nb2ZnBi2
_chemical_formula_sum 'Nb4 Zn2 Bi4'
_cell_length_a 7.5563
_cell_length_b 7.5563
_cell_length_c 3.8789
_cell_angle_alpha 90.00
_cell_angle_beta 90.00
_cell_angle_gamma 90.00
_space_group_name_H-M_alt 'P 1'
_space_group_IT_number 1
_space_group_name_Hall 'P 1'
loop_
_atom_site_label
_atom_site_fract_x
_atom_site_fract_y
_atom_site_fract_z
Nb1 0.1407 0.3593 0.0000
Nb2 0.3593 0.8593 0.0000
Nb3 0.6407 0.1407 0.0000
Nb4 0.8593 0.6407 0.0000
Zn1 0.0000 0.0000 0.0000
Zn2 0.5000 0.5000 0.0000
Bi1 0.1574 0.6574 0.5000
Bi2 0.3426 0.1574 0.5000
Bi3 0.6574 0.8426 0.5000
Bi4 0.8426 0.3426 0.5000
# E above lowest polymorph (eV per atom): 0.000
# Energy relative to the elements (eV per atom): 0.23
# Total energy (eV per atom): -5.60
# Space-group type: No. 127

=====

# TbIn9Ir2 (PBE-GGA, relaxed)
data_TbIn9Ir2
_chemical_formula_sum 'Tb2 In18 Ir4'
_cell_length_a 9.4753
_cell_length_b 9.4753
_cell_length_c 9.4753
_cell_angle_alpha 98.33
_cell_angle_beta 98.33
_cell_angle_gamma 135.26
_space_group_name_H-M_alt 'P 1'
_space_group_IT_number 1
_space_group_name_Hall 'P 1'
loop_
_atom_site_label
_atom_site_fract_x
_atom_site_fract_y
_atom_site_fract_z
Tb1 0.3750 0.6250 0.7500
Tb2 0.6250 0.3750 0.2500
In1 0.0984 0.5477 0.3114
In2 0.0984 0.7870 0.5507
In3 0.1250 0.8750 0.2500
In4 0.2130 0.2636 0.3114
In5 0.2130 0.9016 0.9493
In6 0.2636 0.2130 0.8114
In7 0.2636 0.4523 0.0507
In8 0.4523 0.2636 0.5507
In9 0.4523 0.9016 0.1886
In10 0.5477 0.0984 0.8114
In11 0.5477 0.7364 0.4493
In12 0.7364 0.5477 0.9493
In13 0.7364 0.7870 0.1886
In14 0.7870 0.0984 0.0507
In15 0.7870 0.7364 0.6886
In16 0.8750 0.1250 0.7500
In17 0.9016 0.2130 0.4493
In18 0.9016 0.4523 0.6886
Ir1 0.0000 0.0000 0.0000
Ir2 0.0000 0.0000 0.5000
Ir3 0.0000 0.5000 0.0000
Ir4 0.5000 0.0000 0.5000
# Energy relative to the elements (eV per atom): -0.03
# Total energy (eV per atom): -3.94
# Space-group type: No. 141

=====

# Ta2Pb3 (PBE-GGA, relaxed)
data_Ta2Pb3
_chemical_formula_sum 'Ta4 Pb6'
_cell_length_a 7.2767
_cell_length_b 7.2682
_cell_length_c 9.5824
_cell_angle_alpha 48.83
_cell_angle_beta 48.75
_cell_angle_gamma 82.42
_space_group_name_H-M_alt 'P 1'
_space_group_IT_number 1
_space_group_name_Hall 'P 1'
loop_
_atom_site_label
_atom_site_fract_x
_atom_site_fract_y
_atom_site_fract_z
Ta1 0.2495 0.7505 0.3257
Ta2 0.5757 0.9243 0.4995
Ta3 0.7505 0.2495 0.6743
Ta4 0.9243 0.5757 0.0005
Pb1 0.2021 0.8214 0.0111
Pb2 0.2389 0.2846 0.0479
Pb3 0.2846 0.2389 0.4286
Pb4 0.5297 0.5297 0.4703
Pb5 0.7797 0.7797 0.7203
Pb6 0.8214 0.2021 0.9654
# E above lowest polymorph (eV per atom): 0.102
# Energy relative to the elements (eV per atom): 0.65
# Total energy (eV per atom): -6.31
# Space-group type: No. 43

=====

# AcSmGdTl (PBE-GGA, relaxed)
data_AcSmGdTl
_chemical_formula_sum 'Ac1 Sm1 Gd1 Tl1'
_cell_length_a 5.7207
_cell_length_b 5.7207
_cell_length_c 5.7207
_cell_angle_alpha 60.00
_cell_angle_beta 60.00
_cell_angle_gamma 60.00
_space_group_name_H-M_alt 'P 1'
_space_group_IT_number 1
_space_group_name_Hall 'P 1'
loop_
_atom_site_label
_atom_site_fract_x
_atom_site_fract_y
_atom_site_fract_z
Ac1 0.0000 0.0000 0.0000
Sm1 0.5000 0.5000 0.5000
Gd1 0.2500 0.2500 0.2500
Tl1 0.7500 0.7500 0.7500
# Energy relative to the elements (eV per atom): -0.06
# Total energy (eV per atom): -6.37
# Space-group type: No. 216

=====

# Zn12GaAg6 (PBE-GGA, relaxed)
data_Zn12GaAg6
_chemical_formula_sum 'Zn12 Ga1 Ag6'
_cell_length_a 7.3212
_cell_length_b 7.3212
_cell_length_c 7.3212
_cell_angle_alpha 105.77
_cell_angle_beta 105.77
_cell_angle_gamma 105.77
_space_group_name_H-M_alt 'P 1'
_space_group_IT_number 1
_space_group_name_Hall 'P 1'
loop_
_atom_site_label
_atom_site_fract_x
_atom_site_fract_y
_atom_site_fract_z
Zn1 0.0000 0.3893 0.6107
Zn2 0.0000 0.6107 0.3893
Zn3 0.1574 0.1574 0.4027
Zn4 0.1574 0.4027 0.1574
Zn5 0.3893 0.0000 0.6107
Zn6 0.3893 0.6107 0.0000
Zn7 0.4027 0.1574 0.1574
Zn8 0.5973 0.8426 0.8426
Zn9 0.6107 0.0000 0.3893
Zn10 0.6107 0.3893 0.0000
Zn11 0.8426 0.5973 0.8426
Zn12 0.8426 0.8426 0.5973
Ga1 0.5000 0.5000 0.5000
Ag1 0.1946 0.8013 0.8013
Ag2 0.1987 0.1987 0.8054
Ag3 0.1987 0.8054 0.1987
Ag4 0.8013 0.1946 0.8013
Ag5 0.8013 0.8013 0.1946
Ag6 0.8054 0.1987 0.1987
# E above lowest polymorph (eV per atom): 0.066
# Energy relative to the elements (eV per atom): 0.07
# Total energy (eV per atom): -1.79
# Space-group type: No. 166

=====

# Sr2ZnAg2 (PBE-GGA, relaxed)
data_Sr2ZnAg2
_chemical_formula_sum 'Sr2 Zn1 Ag2'
_cell_length_a 9.7080
_cell_length_b 9.7080
_cell_length_c 9.7080
_cell_angle_alpha 156.52
_cell_angle_beta 156.52
_cell_angle_gamma 33.44
_space_group_name_H-M_alt 'P 1'
_space_group_IT_number 1
_space_group_name_Hall 'P 1'
loop_
_atom_site_label
_atom_site_fract_x
_atom_site_fract_y
_atom_site_fract_z
Sr1 0.1040 0.1040 0.0000
Sr2 0.8960 0.8960 0.0000
Zn1 0.5000 0.5000 0.0000
Ag1 0.2500 0.7500 0.5000
Ag2 0.7500 0.2500 0.5000
# E above lowest polymorph (eV per atom): 0.176
# Energy relative to the elements (eV per atom): -0.12
# Total energy (eV per atom): -2.18
# Space-group type: No. 139

=====

# Ce2MgHg2 (PBE-GGA, relaxed)
data_Ce2MgHg2
_chemical_formula_sum 'Ce4 Mg2 Hg4'
_cell_length_a 6.0641
_cell_length_b 6.0641
_cell_length_c 9.7100
_cell_angle_alpha 103.73
_cell_angle_beta 103.73
_cell_angle_gamma 48.04
_space_group_name_H-M_alt 'P 1'
_space_group_IT_number 1
_space_group_name_Hall 'P 1'
loop_
_atom_site_label
_atom_site_fract_x
_atom_site_fract_y
_atom_site_fract_z
Ce1 0.0409 0.0409 0.3770
Ce2 0.1710 0.1710 0.0492
Ce3 0.8290 0.8290 0.9508
Ce4 0.9591 0.9591 0.6230
Mg1 0.2672 0.2672 0.6983
Mg2 0.7328 0.7328 0.3017
Hg1 0.3512 0.3512 0.4036
Hg2 0.4808 0.4808 0.1466
Hg3 0.5192 0.5192 0.8534
Hg4 0.6488 0.6488 0.5964
# E above lowest polymorph (eV per atom): 0.022
# Energy relative to the elements (eV per atom): -0.24
# Total energy (eV per atom): -3.05
# Space-group type: No. 12

=====

# Ca2MgAgTe (PBE-GGA, relaxed)
data_Ca2MgAgTe
_chemical_formula_sum 'Ca2 Mg1 Ag1 Te1'
_cell_length_a 5.7021
_cell_length_b 5.7021
_cell_length_c 5.4848
_cell_angle_alpha 90.00
_cell_angle_beta 90.00
_cell_angle_gamma 90.00
_space_group_name_H-M_alt 'P 1'
_space_group_IT_number 1
_space_group_name_Hall 'P 1'
loop_
_atom_site_label
_atom_site_fract_x
_atom_site_fract_y
_atom_site_fract_z
Ca1 0.0000 0.5000 0.0000
Ca2 0.5000 0.0000 0.0000
Mg1 0.0000 0.0000 0.5000
Ag1 0.5000 0.5000 0.0000
Te1 0.5000 0.5000 0.5000
# ΔE_f (raw) (eV per atom): -0.063
# Total energy (eV per atom): -2.38
# Space-group type: No. 123

=====

# LaCe3Nd4P8 (PBE-GGA, relaxed)
data_LaCe3Nd4P8
_chemical_formula_sum 'La1 Ce3 Nd4 P8'
_cell_length_a 8.2983
_cell_length_b 8.2983
_cell_length_c 8.2983
_cell_angle_alpha 60.03
_cell_angle_beta 60.03
_cell_angle_gamma 60.03
_space_group_name_H-M_alt 'P 1'
_space_group_IT_number 1
_space_group_name_Hall 'P 1'
loop_
_atom_site_label
_atom_site_fract_x
_atom_site_fract_y
_atom_site_fract_z
La1 0.0000 0.0000 0.0000
Ce1 0.0000 0.5000 0.5000
Ce2 0.5000 0.0000 0.5000
Ce3 0.5000 0.5000 0.0000
Nd1 0.0000 0.0000 0.5000
Nd2 0.0000 0.5000 0.0000
Nd3 0.5000 0.0000 0.0000
Nd4 0.5000 0.5000 0.5000
P1 0.2524 0.2524 0.2524
P2 0.2515 0.2515 0.7426
P3 0.2515 0.7426 0.2515
P4 0.2574 0.7485 0.7485
P5 0.7426 0.2515 0.2515
P6 0.7485 0.2574 0.7485
P7 0.7485 0.7485 0.2574
P8 0.7476 0.7476 0.7476
# Energy relative to the elements (eV per atom): -1.53
# Total energy (eV per atom): -6.85
# Space-group type: No. 166

=====

# Ti2CuPt2 (PBE-GGA, relaxed)
data_Ti2CuPt2
_chemical_formula_sum 'Ti2 Cu1 Pt2'
_cell_length_a 4.4181
_cell_length_b 4.4181
_cell_length_c 5.0937
_cell_angle_alpha 94.66
_cell_angle_beta 94.66
_cell_angle_gamma 113.28
_space_group_name_H-M_alt 'P 1'
_space_group_IT_number 1
_space_group_name_Hall 'P 1'
loop_
_atom_site_label
_atom_site_fract_x
_atom_site_fract_y
_atom_site_fract_z
Ti1 0.0553 0.0553 0.2734
Ti2 0.9447 0.9447 0.7266
Cu1 0.5000 0.5000 0.0000
Pt1 0.3199 0.6801 0.5000
Pt2 0.6801 0.3199 0.5000
# E above lowest polymorph (eV per atom): 0.467
# Energy relative to the elements (eV per atom): -0.16
# Total energy (eV per atom): -6.55
# Space-group type: No. 12

=====

# MnRe2Se (PBE-GGA, relaxed)
data_MnRe2Se
_chemical_formula_sum 'Mn1 Re2 Se1'
_cell_length_a 2.8679
_cell_length_b 4.0594
_cell_length_c 5.2772
_cell_angle_alpha 90.00
_cell_angle_beta 103.26
_cell_angle_gamma 90.00
_space_group_name_H-M_alt 'P 1'
_space_group_IT_number 1
_space_group_name_Hall 'P 1'
loop_
_atom_site_label
_atom_site_fract_x
_atom_site_fract_y
_atom_site_fract_z
Mn1 0.0000 0.0000 0.0000
Re1 0.3555 0.5000 0.7566
Re2 0.6445 0.5000 0.2434
Se1 0.0000 0.0000 0.5000
# ΔE_f (raw) (eV per atom): 0.531
# Total energy (eV per atom): -8.86
# Space-group type: No. 10

=====

# Sm4GaGe3 (PBE-GGA, relaxed)
data_Sm4GaGe3
_chemical_formula_sum 'Sm4 Ga1 Ge3'
_cell_length_a 4.0519
_cell_length_b 4.4220
_cell_length_c 11.0240
_cell_angle_alpha 90.00
_cell_angle_beta 90.00
_cell_angle_gamma 90.00
_space_group_name_H-M_alt 'P 1'
_space_group_IT_number 1
_space_group_name_Hall 'P 1'
loop_
_atom_site_label
_atom_site_fract_x
_atom_site_fract_y
_atom_site_fract_z
Sm1 0.0000 0.0000 0.0000
Sm2 0.0000 0.5000 0.4987
Sm3 0.5000 0.0000 0.2770
Sm4 0.5000 0.5000 0.7783
Ga1 0.5000 0.0000 0.5614
Ge1 0.0000 0.0000 0.7172
Ge2 0.0000 0.5000 0.2190
Ge3 0.5000 0.5000 0.0560
# Energy relative to the elements (eV per atom): -0.82
# Total energy (eV per atom): -5.29
# Space-group type: No. 25